Compound: Y2Cd12Ag5
Source: the Alexandria database
Functional: PBE
Structure: relaxed

Lattice parameters (Å, degrees): 9.8896 9.8896 14.6686 90.00 90.00 120.00
Space group R-3m (No. 166, hexagonal axes)
Asymmetric unit:
Y (0.0000, 0.0000, 0.1698) [6 per cell]
Cd (0.0000, 0.2983, 0.5000) [18 per cell]
Cd (0.0028, 0.5014, 0.6488) [18 per cell]
Ag (0.0000, 0.0000, 0.3956) [6 per cell]
Ag (0.0000, 0.5000, 0.0000) [9 per cell]

formation energy from the elements	-0.118	eV/atom



Compound: Cs6Br3Cl2
Source: the Alexandria database
Functional: PBE
Structure: relaxed

Lattice parameters (Å, degrees): 8.954 15.517 8.919 90.00 109.52 90.00
Space group C2/m (No. 12)
Asymmetric unit:
Cs (0.239, 0.000, 0.243) [4 per cell]
Cs (0.247, 0.171, 0.757) [8 per cell]
Br (0.000, 0.000, 0.500) [2 per cell]
Br (0.000, 0.336, 0.500) [4 per cell]
Cl (0.000, 0.167, 0.000) [4 per cell]

VASP energy	-0.2145	Ry/atom



Compound: Ag2BiW
Source: the Alexandria database
Functional: PBE
Structure: relaxed

Lattice parameters (Å, degrees): 7.859 7.859 5.525 90.00 90.00 90.00
Space group I-42d (No. 122)
Asymmetric unit:
Ag (0.233, 0.250, 0.125) [8 per cell]
Bi (0.000, 0.000, 0.500) [4 per cell]
W (0.000, 0.000, 0.000) [4 per cell]

formation energy from the elements	0.995	eV/atom



Compound: Pm6Ga3Cu
Source: the Alexandria database
Functional: PBE
Structure: relaxed

Lattice parameters (Å, degrees): 9.014 11.588 5.160 90.00 90.00 90.00
Space group Pnnm (No. 58)
Asymmetric unit:
Pm (0.000, 0.246, 0.000) [4 per cell]
Pm (0.168, 0.082, 0.500) [4 per cell]
Pm (0.168, 0.422, 0.500) [4 per cell]
Ga (0.000, 0.500, 0.000) [2 per cell]
Ga (0.168, 0.742, 0.500) [4 per cell]
Cu (0.000, 0.000, 0.000) [2 per cell]

formation energy from the elements	-0.304	eV/atom



Respective D(E_F) values: 29.8; 5.6; 16.0; 21.4 states/eV per cell.